--- 1 ---
Material: YTl2Cd2
Method: DFT, PBE
State: relaxed

a b c (Å): 8.533 8.533 3.683
angles (deg): 90.00 90.00 90.00
Last column: magnetic moment on the atom in μB.
Fractional positions:
Cd1 0.837 0.337 0.500  0.00
Y1 0.500 0.500 0.000  0.19
Tl1 0.362 0.862 0.000  0.00
Tl2 0.638 0.138 0.000  0.00
Cd2 0.337 0.163 0.500  0.00
Tl3 0.862 0.638 0.000  0.00
Cd3 0.663 0.837 0.500  0.00
Cd4 0.163 0.663 0.500  0.00
Y2 0.000 0.000 0.000  0.20
Tl4 0.138 0.362 0.000  0.00

**Theoretical density**: 8.9 Mg/m³
**Space-group type**: No. 127

***

--- 2 ---
Material: YTl2Cd2
Method: DFT, PBE
State: relaxed

a b c (Å): 4.466 4.466 7.422
angles (deg): 72.49 72.49 90.00
Fractional positions:
Y1 0.000 0.000 0.000
Tl1 0.394 0.394 0.212
Cd1 0.750 0.250 0.500
Tl2 0.606 0.606 0.788
Cd2 0.250 0.750 0.500

**Theoretical density**: 9.0 Mg/m³
**Space-group type**: No. 139

***

Computed energies relative to the best structure, in kJ/mol of atoms: 1 0.0; 2 1.8